No. 1
A plane-wave DFT calculation with GGA-PBE was carried out for a relaxed structure of SrBe3.

Output
D(E_F): 1.53 states/eV per cell
offset from the most stable computed form: 0 kJ/mol of formula units
SG: C2/m, No. 12
calculated formation energy: 139 meV per atom

Lattice parameters (Å, degrees): 3.7940 3.7940 5.7229 73.60 73.60 60.02
Element x y z (fractional)
Be1 0.5000 0.5000 0.5000
Be2 0.8203 0.8203 0.5384
Be3 0.1797 0.1797 0.4616
Sr1 0.0000 0.0000 0.0000

No. 2
A plane-wave DFT calculation with GGA-PBE was carried out for a relaxed structure of Li2Er2TmSn2.

Output
D(E_F): 4.26 states/eV per cell
SG: R-3m, No. 166
calculated formation energy: -418 meV per atom

Lattice parameters (Å, degrees): 4.7554 4.7554 9.0997 74.85 74.85 60.00
Element x y z (fractional)
Er1 0.8713 0.8713 0.3861
Li1 0.5996 0.5996 0.2013
Tm1 0.0000 0.0000 0.0000
Sn1 0.2640 0.2640 0.2081
Er2 0.1287 0.1287 0.6139
Sn2 0.7360 0.7360 0.7919
Li2 0.4004 0.4004 0.7987

No. 3
A plane-wave DFT calculation with GGA-PBE was carried out for a relaxed structure of Tm2CdB2Rh5.

Output
D(E_F): 8.77 states/eV per cell
SG: P4/mbm, No. 127
calculated formation energy: -757 meV per atom

Lattice parameters (Å, degrees): 3.1944 9.6273 9.6273 90.00 90.00 90.00
Element x y z (fractional)
B1 0.0000 0.8775 0.3775
Rh1 0.5000 0.7267 0.4294
Rh2 0.5000 0.5706 0.7267
B2 0.0000 0.3775 0.1225
Rh3 0.5000 0.0706 0.7733
Cd1 0.0000 0.0000 0.0000
Rh4 0.5000 0.2733 0.5706
Rh5 0.5000 0.7733 0.9294
Tm1 0.0000 0.8241 0.6759
Rh6 0.5000 0.9294 0.2267
B3 0.0000 0.6225 0.8775
Rh7 0.5000 0.2267 0.0706
B4 0.0000 0.1225 0.6225
Rh8 0.5000 0.0000 0.5000
Cd2 0.0000 0.5000 0.5000
Rh9 0.5000 0.5000 0.0000
Tm2 0.0000 0.1759 0.3241
Rh10 0.5000 0.4294 0.2733
Tm3 0.0000 0.6759 0.1759
Tm4 0.0000 0.3241 0.8241

No. 4
A plane-wave DFT calculation with GGA-PBE was carried out for a relaxed structure of CaTb2Cd6.

Output
D(E_F): 7.41 states/eV per cell
SG: P6/mmm, No. 191
calculated formation energy: -324 meV per atom

Lattice parameters (Å, degrees): 3.4740 8.6613 8.6613 120.00 90.00 90.00
Element x y z (fractional)
Cd1 0.5000 0.3342 0.3342
Cd2 0.5000 0.6658 0.6658
Cd3 0.5000 0.0000 0.6658
Cd4 0.5000 0.6658 0.0000
Tb1 0.0000 0.3333 0.6667
Ca1 0.0000 0.0000 0.0000
Cd5 0.5000 0.3342 0.0000
Tb2 0.0000 0.6667 0.3333
Cd6 0.5000 0.0000 0.3342

No. 5
A plane-wave DFT calculation with GGA-PBE was carried out for a relaxed structure of Tl2RuSe.

Output
D(E_F): 3.25 states/eV per cell
offset from the most stable computed form: 0 kJ/mol of formula units
SG: P4mm, No. 99

Lattice parameters (Å, degrees): 3.1329 3.1329 9.8116 90.00 90.00 89.97
Element x y z (fractional)
Se1 0.5000 0.5000 0.6668
Tl1 0.5000 0.5000 0.3054
Tl2 0.0000 0.0000 0.9829
Ru1 0.0000 0.0000 0.5449

No. 6
A plane-wave DFT calculation with GGA-PBE was carried out for a relaxed structure of InCo3Ir.

Output
D(E_F): 6.66 states/eV per cell
offset from the most stable computed form: 0 kJ/mol of formula units
SG: Pm-3m, No. 221
calculated formation energy: 1109 meV per atom

Lattice parameters (Å, degrees): 4.5887 4.5887 4.5887 90.00 90.00 90.00
Each line ends with the local moment (μB).
Element x y z (fractional)
Co1 0.0000 0.0000 0.5000  2.54
Co2 0.5000 0.0000 0.0000  1.23
In1 0.5000 0.5000 0.5000  0.00
Ir1 0.0000 0.0000 0.0000  0.75
Co3 0.0000 0.5000 0.0000  1.87

No. 7
A plane-wave DFT calculation with GGA-PBE was carried out for a relaxed structure of Sc2TaCl.

Output
D(E_F): 1.18 states/eV per cell
offset from the most stable computed form: 129 kJ/mol of formula units
SG: Cm, No. 8

Lattice parameters (Å, degrees): 5.4369 5.4369 5.4681 71.30 71.30 32.86
Element x y z (fractional)
Sc1 0.0240 0.0240 0.9444
Cl1 0.7999 0.7999 0.8319
Ta1 0.4611 0.4611 0.4383
Sc2 0.2150 0.2150 0.2855

No. 8
A plane-wave DFT calculation with GGA-PBE was carried out for a relaxed structure of ScTe2Pb.

Output
D(E_F): 2.61 states/eV per cell
SG: Pm, No. 6
E_tot: -4.66 eV per atom

Lattice parameters (Å, degrees): 5.4482 4.4531 5.9759 68.29 90.00 90.00
Element x y z (fractional)
Te1 0.5000 0.1601 0.3059
Pb1 0.0000 0.6156 0.3921
Te2 0.0000 0.9047 0.8170
Sc1 0.5000 0.8196 0.9849

No. 9
A plane-wave DFT calculation with GGA-PBE was carried out for a relaxed structure of NdEr2Rh.

Output
D(E_F): 17.73 states/eV per cell
offset from the most stable computed form: 0 kJ/mol of formula units
SG: Pnma, No. 62
calculated formation energy: -512 meV per atom

Lattice parameters (Å, degrees): 6.4054 7.1919 9.4386 90.00 90.00 90.00
Element x y z (fractional)
Rh1 0.5720 0.1171 0.7500
Er1 0.3311 0.1761 0.0648
Rh2 0.0720 0.3829 0.2500
Er2 0.6689 0.8239 0.9352
Rh3 0.4280 0.8829 0.2500
Rh4 0.9280 0.6171 0.7500
Er3 0.8311 0.3239 0.5648
Er4 0.1689 0.6761 0.0648
Er5 0.3311 0.1761 0.4352
Nd1 0.6361 0.5336 0.2500
Nd2 0.1361 0.9664 0.7500
Er6 0.6689 0.8239 0.5648
Er7 0.8311 0.3239 0.9352
Nd3 0.8639 0.0336 0.2500
Er8 0.1689 0.6761 0.4352
Nd4 0.3639 0.4664 0.7500

No. 10
A plane-wave DFT calculation with GGA-PBE was carried out for a relaxed structure of Sr2ZrGeO6.

Output
D(E_F): 0.00 states/eV per cell
offset from the most stable computed form: 0 kJ/mol of formula units
SG: Fm-3m, No. 225

Lattice parameters (Å, degrees): 5.6741 5.6741 5.6741 60.00 60.00 60.00
Element x y z (fractional)
O1 0.7610 0.7610 0.2390
O2 0.7610 0.2390 0.7610
O3 0.7610 0.2390 0.2390
Zr1 0.5000 0.5000 0.5000
O4 0.2390 0.2390 0.7610
O5 0.2390 0.7610 0.2390
Sr1 0.2500 0.2500 0.2500
O6 0.2390 0.7610 0.7610
Sr2 0.7500 0.7500 0.7500
Ge1 0.0000 0.0000 0.0000

No. 11
A plane-wave DFT calculation with GGA-PBE was carried out for a relaxed structure of La2ZrAgH.

Output
D(E_F): 7.17 states/eV per cell
SG: P4/mmm, No. 123
E_tot: -5.00 eV per atom

Lattice parameters (Å, degrees): 5.2657 5.2657 4.1802 90.00 90.00 90.00
Element x y z (fractional)
Ag1 0.5000 0.5000 0.5000
H1 0.0000 0.0000 0.0000
Zr1 0.0000 0.0000 0.5000
La1 0.0000 0.5000 0.0000
La2 0.5000 0.0000 0.0000

No. 12
A plane-wave DFT calculation with GGA-PBE was carried out for a relaxed structure of TbSi3Tc4.

Output
D(E_F): 7.10 states/eV per cell
SG: P4/mmm, No. 123
E_tot: -8.15 eV per atom

Lattice parameters (Å, degrees): 4.1178 4.1178 7.8230 90.00 90.00 90.00
Element x y z (fractional)
Si1 0.0000 0.0000 0.0000
Si2 0.5000 0.5000 0.3426
Tc1 0.0000 0.5000 0.8282
Tc2 0.5000 0.0000 0.8282
Tc3 0.0000 0.5000 0.1718
Tc4 0.5000 0.0000 0.1718
Si3 0.5000 0.5000 0.6574
Tb1 0.0000 0.0000 0.5000